Ba2TcW | PBE | relaxed

Lattice parameters (Å, degrees): 6.7477 6.7477 6.7477 147.71 129.90 60.87
Closest atoms and distances in Å follow each position.
Sites, in units of the cell vectors:
Ba: 0.0000 0.0000 0.0000  4 W 3.57, 6 Ba 3.75-3.81, 4 Tc 3.79-3.82
Ba: 0.7161 0.2161 0.5000  4 Tc 3.51, 2 W 3.66, 6 Ba 3.75-3.81
Tc: 0.2864 0.7864 0.5000  2 W 2.38
W: 0.4124 0.4124 0.0000  2 Tc 2.38

Properties
- space-group type = Imm2
- formation energy from the elements (meV per atom) = 768
- offset from the most stable computed form (meV/atom) = 259.7
- E_tot (Ry/atom) = -0.443
- D(E_F) (states/eV/cell) = 4.6